RbGa3Tc | GGA-PBE | relaxed

Calculated values
Relative energy among the computed polymorphs: 12.9 kJ per mole of atoms
DOS at the Fermi energy: 0.3181 states/eV/atom
Energy relative to the elements: -0.010 eV per atom
Spin magnetization: 0.0000 μB per atom

extended XYZ file:
```
20
Lattice="-12.7785 10.9563 6.5703 -2.6586 -0.3288 -4.6224 1.5885 -6.8539 -0.4260" Properties=species:S:1:pos:R:3 pbc="T T T"
Ga -10.9051 6.1450 2.0990
Ga -5.1557 0.6154 -2.7128
Ga -2.9436 -2.3714 -0.5772
Ga -9.2449 4.7455 -0.0837
Ga -4.6038 -0.9719 1.6055
Ga -3.9617 1.0001 -0.3394
Ga -4.4924 -2.8555 -2.7394
Ga -1.6892 -4.1136 -2.9348
Ga -12.1595 7.8871 4.4566
Ga -9.3563 6.6290 4.2612
Ga -8.6930 3.1581 4.2346
Ga -9.8869 2.7734 1.8612
Rb -7.5555 1.1482 -0.3601
Rb -6.2932 2.6253 1.8818
Rb -11.8820 4.6773 4.9647
Rb -1.9667 -0.9037 -3.4430
Tc -0.9727 -3.8443 -0.1040
Tc -5.1700 -1.2226 -0.9639
Tc -8.6787 4.9961 2.4856
Tc -12.8760 7.6178 1.6258
```